Here is a relaxed structure of SrNbN2 from Alexandria via LeMat-Bulk. Energies are from PBE-GGA.

The density is 6.69 g/cm³. The formation energy (no corrections) is 0.359 eV/atom. The energy is -6.74 eV/atom.

Lattice parameters (Å, degrees): 5.9166 5.9166 5.9166 90.00 90.00 90.00
Space group Fm-3m (No. 225)
One atom of each set of equivalent atoms:
Sr  0.0000  0.0000  0.0000 x4
Nb  0.0000  0.0000  0.5000 x4
N  0.2500  0.2500  0.2500 x8

Here is a relaxed structure of SrNbN2 from Alexandria via LeMat-Bulk. Energies are from PBE-GGA.

The density is 5.30 g/cm³. The formation energy (no corrections) is -0.901 eV/atom. The energy is -8.00 eV/atom.

Lattice parameters (Å, degrees): 9.2022 9.2214 12.4686 90.00 99.03 90.00
Space group C2/c (No. 15)
One atom of each set of equivalent atoms:
Sr  0.0171  0.1687  0.3815 x8
Sr  0.2205  0.4313  0.1152 x8
Nb  0.0963  0.2003  0.6528 x8
Nb  0.1422  0.4389  0.8465 x8
N  0.0000  0.0663  0.7500 x4
N  0.0000  0.4290  0.2500 x4
N  0.0504  0.3136  0.9516 x8
N  0.1931  0.0548  0.5622 x8
N  0.2478  0.1780  0.2531 x8

Here is a relaxed structure of SrNb2N4 from Alexandria via LeMat-Bulk. Energies are from PBE-GGA.

The density is 5.09 g/cm³. The formation energy (no corrections) is -0.860 eV/atom. The energy is -8.73 eV/atom.

Lattice parameters (Å, degrees): 10.0377 11.7326 7.3003 90.00 90.00 90.00
Space group Fdd2 (No. 43)
One atom of each set of equivalent atoms:
Sr  0.0000  0.0000  0.0000 x8
Nb  0.1239  0.4146  0.9147 x16
N  0.0665  0.3751  0.1658 x16
N  0.1144  0.0799  0.3988 x16

Here is a relaxed structure of SrNbN2 from Alexandria via LeMat-Bulk. Energies are from PBE-GGA.

The density is 4.83 g/cm³. The formation energy (no corrections) is -0.854 eV/atom. The energy is -7.95 eV/atom.

Lattice parameters (Å, degrees): 5.2963 5.2963 10.2148 90.00 90.00 90.00
Space group I-42d (No. 122)
One atom of each set of equivalent atoms:
Sr  0.0000  0.0000  0.0000 x4
Nb  0.0000  0.0000  0.5000 x4
N  0.1547  0.2500  0.6250 x8